[1]
Ba2PaPbO6 | PBE-GGA | optimized geometry

Calculated values
space-group type: P4/mmm (123)
ΔE_f (raw): -2634 meV per atom

abc: 4.4763 4.4763 9.0229
angles: 90.00 90.00 90.00
With the nearest neighbours (Å) after each atom.
Fractional coordinates of all 10 atoms:
Ba 0.0000 0.0000 0.7229  12 O 3.01-3.36
O 0.0000 0.5000 0.0000  2 Pa 2.24
Pa 0.5000 0.5000 0.0000  6 O 2.10-2.24
O 0.5000 0.0000 0.5000  2 Pb 2.24
Pb 0.5000 0.5000 0.5000  6 O 2.24-2.41
Ba 0.0000 0.0000 0.2771  12 O 3.01-3.36
O 0.5000 0.5000 0.2326  1 Pa 2.10
O 0.5000 0.5000 0.7674  1 Pa 2.10
O 0.5000 0.0000 0.0000  2 Pa 2.24
O 0.0000 0.5000 0.5000  2 Pb 2.24


[2]
Ba3Pa2PbO9 | PBE-GGA | optimized geometry

Calculated values
space-group type: P-3m1 (164)
ΔE_f (raw): -2931 meV per atom

abc: 6.4237 6.4237 7.8616
angles: 90.00 90.00 120.00
With the nearest neighbours (Å) after each atom.
Fractional coordinates of all 15 atoms:
O 0.5000 0.0000 0.0000  2 Pa 2.24
O 0.6401 0.8200 0.3199  1 Pa 2.12
Pa 0.3333 0.6667 0.1590  6 O 2.12-2.24
Ba 0.0000 0.0000 0.0000  12 O 3.21
O 0.0000 0.5000 0.0000  2 Pa 2.24
O 0.3599 0.1800 0.6801  1 Pa 2.12
Pa 0.6667 0.3333 0.8410  6 O 2.12-2.24
O 0.5000 0.5000 0.0000  2 Pa 2.24
O 0.8200 0.6401 0.6801  1 Pa 2.12
Ba 0.6667 0.3333 0.3647  9 O 3.01-3.23
Pb 0.0000 0.0000 0.5000  6 O 2.45
O 0.1800 0.8200 0.3199  1 Pa 2.12
Ba 0.3333 0.6667 0.6353  9 O 3.01-3.23
O 0.8200 0.1800 0.6801  1 Pa 2.12
O 0.1800 0.3599 0.3199  1 Pa 2.12


[3]
Ba3PaPb2O8 | PBE-GGA | optimized geometry

Calculated values
space-group type: P-3m1 (164)
ΔE_f (raw): -2217 meV per atom

abc: 6.3603 6.3603 8.2327
angles: 90.00 90.00 120.00
With the nearest neighbours (Å) after each atom.
Fractional coordinates of all 14 atoms:
O 0.8418 0.6836 0.6568  1 Pa 2.17, 1 Pb 2.33
O 0.3164 0.1582 0.6568  1 Pa 2.17, 1 Pb 2.33
Pb 0.6667 0.3333 0.8163  4 O 2.21-2.33
O 0.1582 0.8418 0.3432  1 Pa 2.17, 1 Pb 2.33
Pb 0.3333 0.6667 0.1837  4 O 2.21-2.33
Pa 0.0000 0.0000 0.5000  6 O 2.17
Ba 0.3333 0.6667 0.6236  1 O 2.41
O 0.3333 0.6667 0.9157  1 Pb 2.21, 1 Ba 2.41
Ba 0.0000 0.0000 0.0000  6 O 3.32
O 0.6667 0.3333 0.0843  1 Pb 2.21, 1 Ba 2.41
Ba 0.6667 0.3333 0.3764  1 O 2.41
O 0.1582 0.3164 0.3432  1 Pa 2.17, 1 Pb 2.33
O 0.6836 0.8418 0.3432  1 Pa 2.17, 1 Pb 2.33
O 0.8418 0.1582 0.6568  1 Pa 2.17, 1 Pb 2.33


[4]
BaPa2PbO8 | PBE-GGA | optimized geometry

Calculated values
space-group type: Cmmm (65)
ΔE_f (raw): -2744 meV per atom

abc: 5.3085 5.3130 7.2630
angles: 90.00 90.00 87.52
With the nearest neighbours (Å) after each atom.
Fractional coordinates of all 12 atoms:
Ba 0.0000 0.0000 0.5000  6 O 2.59-2.61
Pa 0.5000 0.5000 0.2452  6 O 2.13-2.26
O 0.7883 0.2124 0.2113  1 Pa 2.13, 1 Pb 2.19
O 0.3186 0.3183 0.0000  2 Pa 2.26, 1 Pb 2.44
O 0.2117 0.7876 0.7887  1 Pa 2.13, 1 Pb 2.19
Pa 0.5000 0.5000 0.7548  6 O 2.13-2.26
Pb 0.0000 0.0000 0.0000  6 O 2.19-2.44
O 0.3383 0.3377 0.5000  2 Pa 2.23, 1 O 2.49
O 0.2118 0.7876 0.2113  1 Pa 2.13, 1 Pb 2.19
O 0.6617 0.6623 0.5000  2 Pa 2.23, 1 O 2.49
O 0.7882 0.2124 0.7887  1 Pa 2.13, 1 Pb 2.19
O 0.6814 0.6817 0.0000  2 Pa 2.26, 1 Pb 2.44


[5]
BaPaPb2O8 | PBE-GGA | optimized geometry

Calculated values
space-group type: I-4m2 (119)
ΔE_f (raw): -1697 meV per atom

abc: 6.5076 6.5076 6.5076
angles: 109.03 109.03 110.36
With the nearest neighbours (Å) after each atom.
Fractional coordinates of all 12 atoms:
O 0.4773 0.6876 0.7897  1 Pb 2.11, 1 Pa 2.24
O 0.3124 0.1020 0.7897  1 Pb 2.11, 1 Pa 2.24
O 0.9729 0.3076 0.3348  1 Pb 2.07
O 0.6924 0.0271 0.6652  1 Pb 2.07
Pb 0.5000 0.5000 0.0000  4 O 2.11
Ba 0.0000 0.0000 0.0000  8 O 2.54-2.81
Pb 0.7500 0.2500 0.5000  4 O 2.07
O 0.3619 0.0271 0.3348  1 Pb 2.07
O 0.8980 0.6876 0.2103  1 Pb 2.11, 1 Pa 2.24
Pa 0.2500 0.7500 0.5000  8 O 2.24-2.41
O 0.9729 0.6381 0.6652  1 Pb 2.07
O 0.3124 0.5227 0.2103  1 Pb 2.11, 1 Pa 2.24


[6]
BaPaPbO6 | PBE-GGA | optimized geometry

Calculated values
space-group type: P-31c (163)
ΔE_f (raw): -2183 meV per atom

abc: 5.8342 5.8342 11.5296
angles: 90.00 90.00 120.00
With the nearest neighbours (Å) after each atom.
Fractional coordinates of all 18 atoms:
O 0.6261 0.9951 0.3532  1 Pa 2.18, 1 Pb 2.21
O 0.0049 0.3739 0.1468  1 Pa 2.18, 1 Pb 2.21
O 0.3739 0.3690 0.8532  1 Pa 2.18, 1 Pb 2.21
Ba 0.0000 0.0000 0.0000  6 O 2.75
Ba 0.0000 0.0000 0.5000  6 O 2.75
Pb 0.6667 0.3333 0.2500  6 O 2.21
O 0.3739 0.0049 0.6468  1 Pa 2.18, 1 Pb 2.21
O 0.3690 0.9951 0.1468  1 Pa 2.18, 1 Pb 2.21
Pa 0.6667 0.3333 0.7500  6 O 2.18
Pb 0.3333 0.6667 0.7500  6 O 2.21
O 0.9951 0.3690 0.6468  1 Pa 2.18, 1 Pb 2.21
Pa 0.3333 0.6667 0.2500  6 O 2.18
O 0.6310 0.6261 0.6468  1 Pa 2.18, 1 Pb 2.21
O 0.6310 0.0049 0.8532  1 Pa 2.18, 1 Pb 2.21
O 0.9951 0.6261 0.8532  1 Pa 2.18, 1 Pb 2.21
O 0.6261 0.6310 0.1468  1 Pa 2.18, 1 Pb 2.21
O 0.3690 0.3739 0.3532  1 Pa 2.18, 1 Pb 2.21
O 0.0049 0.6310 0.3532  1 Pa 2.18, 1 Pb 2.21


[7]
Ba4Pa3PdO12 | PBE-GGA | optimized geometry

Calculated values
space-group type: Im-3m (229)
ΔE_f (raw): -2965 meV per atom

abc: 7.7378 7.7378 7.7378
angles: 109.47 109.47 109.47
With the nearest neighbours (Å) after each atom.
Fractional coordinates of all 20 atoms:
O 0.2695 0.0000 0.2695  1 Pa 2.06
Pd 0.0000 0.0000 0.0000  6 O 2.41
O 0.5000 0.2500 0.7500  2 Pa 2.23
O 0.2500 0.5000 0.7500  2 Pa 2.23
O 0.7305 0.7305 0.0000  1 Pa 2.06
O 0.7305 0.0000 0.7305  1 Pa 2.06
Pa 0.5000 0.5000 0.0000  6 O 2.06-2.23
O 0.2695 0.2695 0.0000  1 Pa 2.06
Pa 0.0000 0.5000 0.5000  6 O 2.06-2.23
Ba 0.5000 0.5000 0.5000  12 O 3.16
O 0.7500 0.2500 0.5000  2 Pa 2.23
Ba 0.5000 0.0000 0.0000  12 O 3.16
O 0.2500 0.7500 0.5000  2 Pa 2.23
Ba 0.0000 0.0000 0.5000  12 O 3.16
O 0.0000 0.7305 0.7305  1 Pa 2.06
Ba 0.0000 0.5000 0.0000  12 O 3.16
O 0.0000 0.2695 0.2695  1 Pa 2.06
O 0.5000 0.7500 0.2500  2 Pa 2.23
Pa 0.5000 0.0000 0.5000  6 O 2.06-2.23
O 0.7500 0.5000 0.2500  2 Pa 2.23


[8]
BaPa4Pd3O12 | PBE-GGA | optimized geometry

Calculated values
space-group type: Im-3 (204)
ΔE_f (raw): -2644 meV per atom

abc: 7.3065 7.3065 7.3065
angles: 109.47 109.47 109.47
With the nearest neighbours (Å) after each atom.
Fractional coordinates of all 20 atoms:
O 0.1798 0.4675 0.2877  2 Pa 2.21, 1 Pd 2.35
O 0.1798 0.8922 0.7123  2 Pa 2.21, 1 Pd 2.35
O 0.8202 0.5325 0.7123  2 Pa 2.21, 1 Pd 2.35
Pa 0.0000 0.5000 0.0000  6 O 2.21
Pd 0.0000 0.5000 0.5000  4 O 2.35
O 0.5325 0.7123 0.8202  2 Pa 2.21, 1 Pd 2.35
Pa 0.0000 0.0000 0.5000  6 O 2.21
O 0.7123 0.1798 0.8922  2 Pa 2.21, 1 Pd 2.35
O 0.2877 0.8202 0.1078  2 Pa 2.21, 1 Pd 2.35
Pa 0.5000 0.5000 0.5000  6 O 2.21
O 0.1078 0.2877 0.8202  2 Pa 2.21, 1 Pd 2.35
Pa 0.5000 0.0000 0.0000  6 O 2.21
O 0.8922 0.7123 0.1798  2 Pa 2.21, 1 Pd 2.35
O 0.7123 0.8202 0.5325  2 Pa 2.21, 1 Pd 2.35
Pd 0.5000 0.5000 0.0000  4 O 2.35
O 0.8202 0.1078 0.2877  2 Pa 2.21, 1 Pd 2.35
O 0.2877 0.1798 0.4675  2 Pa 2.21, 1 Pd 2.35
Pd 0.5000 0.0000 0.5000  4 O 2.35
O 0.4675 0.2877 0.1798  2 Pa 2.21, 1 Pd 2.35
Ba 0.0000 0.0000 0.0000  12 O 2.86